(1)
A plane-wave DFT calculation with PBE-GGA was carried out for an optimized crystal structure of Cs4CePm3S8.

The structure in POSCAR format:
```
Cs4CePm3S8
1.0
8.470 0.000 0.000
0.000 9.421 0.662
-4.235 -4.230 5.993
Cs S Ce Pm
4 8 1 3
Cartesian
-2.117 -2.115 2.996 Cs
2.117 -2.115 2.996 Cs
4.235 0.000 0.000 Cs
0.000 0.000 0.000 Cs
4.235 0.674 3.456 S
-2.109 2.410 6.184 S
6.344 2.781 0.471 S
2.126 2.781 0.471 S
0.000 0.666 3.462 S
2.109 2.410 6.184 S
4.235 4.524 3.193 S
0.000 4.517 3.199 S
0.000 4.710 0.331 Ce
4.235 4.710 0.331 Pm
2.117 2.595 3.327 Pm
-2.117 2.595 3.327 Pm
```

Energy relative to the elements, uncorrected in eV/atom: -1.801


(2)
A plane-wave DFT calculation with PBE-GGA was carried out for an optimized crystal structure of Na2LiCu2.

The structure in POSCAR format:
```
Na2LiCu2
1.0
4.151 0.000 0.000
0.000 4.151 0.000
2.076 2.076 6.485
Li Na Cu
1 2 2
Cartesian
0.000 0.000 0.000 Li
4.151 2.076 3.243 Na
2.076 4.151 3.243 Na
2.076 2.076 1.163 Cu
4.151 4.151 5.322 Cu
```

E above lowest polymorph in eV/atom: 0.153
Formation enthalpy at 0 K in eV per atom: 0.3696


(3)
A plane-wave DFT calculation with PBE-GGA was carried out for an optimized crystal structure of GaAgF2.

The structure in POSCAR format:
```
GaAgF2
1.0
5.786 -4.539 2.080
7.315 -1.507 1.621
5.717 -2.191 4.574
F Ga Ag
2 1 1
Cartesian
17.042 -7.459 7.494 F
1.777 -0.778 0.781 F
9.409 -4.118 4.138 Ga
0.000 0.000 0.000 Ag
```

Energy relative to the elements, uncorrected in eV/atom: -1.192
E above lowest polymorph in eV/atom: 0.025


(4)
A plane-wave DFT calculation with PBE-GGA was carried out for an optimized crystal structure of MnTl2Cd.

The structure in POSCAR format:
```
MnTl2Cd
1.0
-4.772 4.874 -2.890
-3.127 0.941 -6.649
1.629 -3.705 6.204
Tl Cd Mn
2 1 1
Cartesian
-3.417 2.516 -4.127 Tl
-0.532 0.392 -0.643 Tl
-3.546 2.038 -0.728 Cd
-2.723 0.072 -2.607 Mn
```

E above lowest polymorph in eV/atom: 0.032
Formation enthalpy at 0 K in eV per atom: 0.3008


(5)
A plane-wave DFT calculation with PBE-GGA was carried out for an optimized crystal structure of AlFeW2.

The structure in POSCAR format:
```
AlFeW2
1.0
8.916 0.004 0.002
8.480 2.752 0.002
8.480 1.344 2.402
Al Fe W
1 1 2
Cartesian
12.753 2.021 1.186 Al
19.431 3.079 1.807 Fe
6.428 1.019 0.598 W
0.203 0.032 0.019 W
```

Formation enthalpy at 0 K in eV per atom: 0.1954


(6)
A plane-wave DFT calculation with PBE-GGA was carried out for an optimized crystal structure of Ca3BiAu14.

The structure in POSCAR format:
```
Ca3BiAu14
1.0
-0.135 4.502 3.274
-3.558 -0.453 -4.258
-9.221 -6.372 8.382
Ca Au Bi
3 14 1
Cartesian
-9.149 -6.323 8.317 Ca
-4.453 0.654 3.651 Ca
-8.562 -3.048 3.838 Ca
-7.997 -1.364 8.642 Au
-10.085 -3.238 8.771 Au
-10.827 -4.613 5.897 Au
-2.892 -0.990 -1.118 Au
-7.255 -2.575 0.881 Au
-4.734 1.028 -1.609 Au
-7.930 -3.609 7.009 Au
-5.122 -0.670 0.711 Au
-6.733 -0.921 5.723 Au
-5.480 -2.349 3.004 Au
-5.773 -3.989 5.248 Au
-2.959 1.254 0.514 Au
-9.771 -1.590 6.519 Au
-7.322 -0.330 2.513 Au
-2.269 -1.568 2.063 Bi
```

Formation enthalpy at 0 K in eV per atom: -0.4095


(7)
A plane-wave DFT calculation with PBE-GGA was carried out for an optimized crystal structure of YSc3Ir.

The structure in POSCAR format:
```
YSc3Ir
1.0
-2.210 1.384 -4.379
-4.574 -1.099 1.961
-0.411 4.780 1.719
Sc Ir Y
3 1 1
Cartesian
-1.105 0.692 -2.189 Sc
-0.206 2.390 0.859 Sc
-2.287 -0.549 0.980 Sc
0.000 0.000 0.000 Ir
-3.598 2.533 -0.350 Y
```

E above lowest polymorph in eV/atom: 0.000
Formation enthalpy at 0 K in eV per atom: -0.2990


(8)
A plane-wave DFT calculation with PBE-GGA was carried out for an optimized crystal structure of CsGeP.

The structure in POSCAR format:
```
CsGeP
1.0
3.725 0.000 0.000
0.000 9.783 -0.498
0.000 -5.504 6.036
Cs Ge P
2 2 2
Cartesian
3.241 4.157 5.132 Cs
1.379 -0.603 4.245 Cs
3.241 6.056 1.749 Ge
3.241 3.545 1.263 Ge
1.379 7.162 0.819 P
1.379 2.381 2.105 P
```

E above lowest polymorph in eV/atom: 0.043
Formation enthalpy at 0 K in eV per atom: -0.2164


The records above yield V values of 31.37; 22.35; 18.77; 25.60; 14.70; 20.88; 26.48; 34.96 A^3/atom, respectively.
The records above yield size of the total moment values of 1.0; 0.0; 0.0; 3.9; 0.6; 0.0; 0.0; 0.0 μB/f.u., respectively.